A relaxed Cd2AgAs crystal, computed with PBE-GGA.

Output
VASP energy: -2.258 eV/atom
DOS(E_F): 0.8 states/eV/f.u.

a b c (Å): 4.413 4.413 4.212
angles (deg): 90.00 90.00 90.00
Fractional coordinates of all 4 atoms:
Cd 0.000 0.000 0.000
As 0.000 0.500 0.500
Ag 0.500 0.000 0.500
Cd 0.500 0.500 0.000

=====

A relaxed KCr3Sn crystal, computed with PBE-GGA.

Output
VASP energy: -5.695 eV/atom
DOS(E_F): 2.8 states/eV/f.u.

a b c (Å): 5.404 5.404 5.404
angles (deg): 90.00 90.00 90.00
Last column: magnetic moment on the atom in μB.
Fractional coordinates of all 5 atoms:
Cr 0.500 0.000 0.000  3.97
Cr 0.000 0.500 0.000  4.06
K 0.500 0.500 0.500  0.04
Cr 0.000 0.000 0.500  4.11
Sn 0.000 0.000 0.000  -0.12

=====

A relaxed SmNi2Ge crystal, computed with PBE-GGA.

Output
VASP energy: -5.671 eV/atom
DOS(E_F): 3.4 states/eV/f.u.

a b c (Å): 3.856 3.856 9.345
angles (deg): 90.00 90.00 90.00
Fractional coordinates of all 8 atoms:
Ge 0.500 0.000 0.649
Sm 0.500 0.000 0.212
Ge 0.000 0.500 0.351
Sm 0.000 0.500 0.788
Ni 0.500 0.500 0.500
Ni 0.000 0.000 0.500
Ni 0.500 0.000 0.910
Ni 0.000 0.500 0.090

=====

A relaxed MnBeAsBr2 crystal, computed with PBE-GGA.

Output
E_form (uncorrected): 0.36 eV per atom
VASP energy: -3.821 eV/atom
DOS(E_F): 2.7 states/eV/f.u.

a b c (Å): 4.684 4.684 4.979
angles (deg): 90.00 90.00 90.00
Last column: magnetic moment on the atom in μB.
Fractional coordinates of all 5 atoms:
Be 0.000 0.000 0.000  0.01
Br 0.500 0.000 0.000  -0.01
Mn 0.500 0.500 0.500  4.45
As 0.000 0.000 0.500  -0.32
Br 0.000 0.500 0.000  -0.01

=====

A relaxed Dy8Ga2Pt crystal, computed with PBE-GGA.

Output
VASP energy: -4.890 eV/atom
DOS(E_F): 10.1 states/eV/f.u.

a b c (Å): 4.933 6.583 9.611
angles (deg): 101.74 104.87 90.00
Fractional coordinates of all 11 atoms:
Dy 0.591 0.456 0.181
Dy 0.789 0.677 0.578
Ga 0.813 0.241 0.625
Dy 0.654 0.982 0.308
Dy 0.025 0.778 0.050
Dy 0.409 0.544 0.819
Dy 0.211 0.323 0.422
Dy 0.975 0.222 0.950
Pt 0.500 0.000 0.000
Ga 0.187 0.759 0.375
Dy 0.346 0.018 0.692

=====

A relaxed Li6Ce4F19 crystal, computed with PBE-GGA.

Output
E_form (uncorrected): -3.52 eV per atom
VASP energy: -5.964 eV/atom
DOS(E_F): 27.8 states/eV/f.u.

a b c (Å): 7.561 7.561 7.561
angles (deg): 109.47 109.47 109.47
Last column: magnetic moment on the atom in μB.
Fractional coordinates of all 29 atoms:
F 0.397 0.626 0.650  0.00
Ce 0.342 0.342 0.342  0.74
F 0.626 0.650 0.397  0.00
F 0.771 0.023 0.374  0.00
Li 0.500 0.835 0.335  0.00
Li 0.500 0.165 0.665  0.00
F 0.000 0.310 0.310  0.00
F 0.310 0.310 0.000  0.00
Ce 0.000 0.658 0.000  0.74
F 0.310 0.000 0.310  0.00
F 0.374 0.771 0.023  0.00
F 0.000 0.690 0.690  0.00
F 0.748 0.350 0.977  0.00
F 0.690 0.690 0.000  0.00
F 0.000 0.000 0.000  0.00
Ce 0.000 0.000 0.658  0.74
F 0.603 0.252 0.229  0.00
Ce 0.658 0.000 0.000  0.74
Li 0.335 0.500 0.835  0.00
F 0.690 0.000 0.690  0.00
F 0.650 0.397 0.626  0.00
F 0.977 0.748 0.350  0.00
Li 0.165 0.665 0.500  0.00
Li 0.835 0.335 0.500  0.00
Li 0.665 0.500 0.165  0.00
F 0.252 0.229 0.603  0.00
F 0.350 0.977 0.748  0.00
F 0.023 0.374 0.771  0.00
F 0.229 0.603 0.252  0.00

=====

A relaxed Al2AuCl crystal, computed with PBE-GGA.

Output
E_form (uncorrected): -0.21 eV per atom
VASP energy: -3.366 eV/atom
DOS(E_F): 0.6 states/eV/f.u.

a b c (Å): 3.104 3.104 8.220
angles (deg): 90.00 90.00 90.00
Fractional coordinates of all 4 atoms:
Al 0.000 0.000 0.013
Al 0.500 0.500 0.246
Cl 0.500 0.500 0.814
Au 0.000 0.000 0.426

=====

A relaxed SrMgSiH2 crystal, computed with PBE-GGA.

Output
VASP energy: -2.273 eV/atom
DOS(E_F): 2.3 states/eV/f.u.

a b c (Å): 4.418 6.070 4.418
angles (deg): 90.00 90.00 90.00
Fractional coordinates of all 5 atoms:
Sr 0.000 0.500 0.000
H 0.000 0.000 0.500
H 0.500 0.000 0.000
Mg 0.500 0.500 0.500
Si 0.000 0.000 0.000

=====

A relaxed Na2UTiAs4 crystal, computed with PBE-GGA.

Output
VASP energy: -5.591 eV/atom
DOS(E_F): 1.6 states/eV/f.u.

a b c (Å): 4.019 6.759 7.333
angles (deg): 108.40 90.00 90.00
Last column: magnetic moment on the atom in μB.
Fractional coordinates of all 8 atoms:
Na 0.500 0.000 0.500  0.00
Na 0.000 0.500 0.500  0.00
Ti 0.000 0.000 0.000  0.00
U 0.500 0.500 0.000  0.23
As 0.000 0.751 0.212  -0.01
As 0.000 0.249 0.788  -0.01
As 0.500 0.777 0.799  -0.01
As 0.500 0.223 0.201  -0.01

=====

A relaxed DyTmIn crystal, computed with PBE-GGA.

Output
VASP energy: -4.157 eV/atom
DOS(E_F): 2.5 states/eV/f.u.

a b c (Å): 3.601 5.198 5.198
angles (deg): 120.00 90.00 90.00
Fractional coordinates of all 3 atoms:
Tm 0.068 0.000 0.000
Dy 0.623 0.333 0.667
In 0.309 0.667 0.333

=====

A relaxed La2SiRh4 crystal, computed with PBE-GGA.

Output
E_form (uncorrected): -0.57 eV per atom
VASP energy: -6.957 eV/atom
DOS(E_F): 1.4 states/eV/f.u.

a b c (Å): 4.538 4.538 7.735
angles (deg): 72.94 72.94 90.00
Fractional coordinates of all 7 atoms:
Rh 0.838 0.838 0.323
La 0.655 0.655 0.690
Rh 0.000 0.500 0.000
La 0.345 0.345 0.310
Si 0.000 0.000 0.000
Rh 0.162 0.162 0.677
Rh 0.500 0.000 0.000

=====

A relaxed AlFe2Br crystal, computed with PBE-GGA.

Output
E_form (uncorrected): 0.17 eV per atom
VASP energy: -5.412 eV/atom
DOS(E_F): 4.1 states/eV/f.u.

a b c (Å): 3.027 3.438 6.533
angles (deg): 90.00 90.00 90.00
Last column: magnetic moment on the atom in μB.
Fractional coordinates of all 4 atoms:
Al 0.500 0.250 0.250  -0.08
Br 0.500 0.750 0.750  0.06
Fe 0.000 0.750 0.429  2.31
Fe 0.000 0.750 0.071  2.31

=====

A relaxed SrHgGe crystal, computed with PBE-GGA.

Output
VASP energy: -2.457 eV/atom
DOS(E_F): 2.1 states/eV/f.u.

a b c (Å): 3.792 3.792 6.297
angles (deg): 107.53 107.53 90.00
Fractional coordinates of all 3 atoms:
Sr 0.951 0.951 0.902
Hg 0.634 0.634 0.267
Ge 0.265 0.265 0.531